The following is a PBE-GGA calculation of HoScBi2 after structural relaxation, from the Alexandria database.

## Properties
DFT formation energy: -741 meV per atom
Excess energy over the best structure of this formula in the dataset: 3 meV/atom

Structure (CIF):
```
data_HoScBi2
_chemical_formula_sum 'Ho2 Sc2 Bi4'
_symmetry_space_group_name_H-M 'P m m n'
_symmetry_Int_Tables_number 59
_cell_length_a 4.361
_cell_length_b 6.193
_cell_length_c 8.723
_cell_angle_alpha 90.00
_cell_angle_beta 90.00
_cell_angle_gamma 90.00
loop_
_symmetry_equiv_pos_as_xyz
'x,y,z'
'-x,-y,-z'
'-x+1/2,-y+1/2,z'
'x+1/2,y+1/2,-z'
'x+1/2,-y,-z'
'-x+1/2,y,z'
'-x,y+1/2,-z'
'x,-y+1/2,z'
loop_
_atom_site_label
_atom_site_type_symbol
_atom_site_fract_x
_atom_site_fract_y
_atom_site_fract_z
Ho1 Ho 0.250 0.250 0.127
Sc1 Sc 0.250 0.250 0.625
Bi1 Bi 0.250 0.750 0.134
Bi2 Bi 0.250 0.750 0.615
```

The following is a PBE-GGA calculation of Tm2AlAs after structural relaxation, from the Alexandria database.

## Properties
DFT formation energy: -763 meV per atom

Structure (CIF):
```
data_Tm2AlAs
_chemical_formula_sum 'Tm6 Al3 As3'
_symmetry_space_group_name_H-M 'R -3 m'
_symmetry_Int_Tables_number 166
_symmetry_space_group_name_Hall '-R 3 2"'
_cell_length_a 3.8874
_cell_length_b 3.8874
_cell_length_c 22.9280
_cell_angle_alpha 90.00
_cell_angle_beta 90.00
_cell_angle_gamma 120.00
loop_
_atom_site_label
_atom_site_type_symbol
_atom_site_fract_x
_atom_site_fract_y
_atom_site_fract_z
Tm1 Tm 0.0000 0.0000 0.2401
Al1 Al 0.0000 0.0000 0.0000
As1 As 0.0000 0.0000 0.5000
```

The following is a PBE-GGA calculation of SrTlGe4 after structural relaxation, from the Alexandria database.

## Properties
DFT formation energy: -131 meV per atom

Structure (CIF):
```
data_SrTlGe4
_chemical_formula_sum 'Sr4 Tl4 Ge16'
_symmetry_space_group_name_H-M 'F -4 3 m'
_symmetry_Int_Tables_number 216
_symmetry_space_group_name_Hall 'F -4 2 3'
_cell_length_a 8.226
_cell_length_b 8.226
_cell_length_c 8.226
_cell_angle_alpha 90.00
_cell_angle_beta 90.00
_cell_angle_gamma 90.00
loop_
_atom_site_label
_atom_site_type_symbol
_atom_site_fract_x
_atom_site_fract_y
_atom_site_fract_z
Sr1 Sr 0.000 0.000 0.000
Tl1 Tl 0.250 0.250 0.250
Ge1 Ge 0.126 0.126 0.626
```

The following is a PBE-GGA calculation of YInCl after structural relaxation, from the Alexandria database.

## Properties
Excess energy over the best structure of this formula in the dataset: 680 meV/atom

Structure (CIF):
```
data_YInCl
_chemical_formula_sum 'Y4 In4 Cl4'
_symmetry_space_group_name_H-M 'F -4 3 m'
_symmetry_Int_Tables_number 216
_symmetry_space_group_name_Hall 'F -4 2 3'
_cell_length_a 7.155
_cell_length_b 7.155
_cell_length_c 7.155
_cell_angle_alpha 90.00
_cell_angle_beta 90.00
_cell_angle_gamma 90.00
loop_
_atom_site_label
_atom_site_type_symbol
_atom_site_fract_x
_atom_site_fract_y
_atom_site_fract_z
Y1 Y 0.000 0.000 0.000
In1 In 0.250 0.250 0.750
Cl1 Cl 0.250 0.250 0.250
```

The following is a PBE-GGA calculation of Na2DyRuO4 after structural relaxation, from the Alexandria database.

Structure (CIF):
```
data_Na2DyRuO4
_chemical_formula_sum 'Na2 Dy1 Ru1 O4'
_symmetry_space_group_name_H-M 'P 1 2/m 1'
_symmetry_Int_Tables_number 10
_cell_length_a 5.424
_cell_length_b 3.332
_cell_length_c 5.864
_cell_angle_alpha 90.00
_cell_angle_beta 109.12
_cell_angle_gamma 90.00
loop_
_symmetry_equiv_pos_as_xyz
'x,y,z'
'-x,-y,-z'
'-x,y,-z'
'x,-y,z'
loop_
_atom_site_label
_atom_site_type_symbol
_atom_site_fract_x
_atom_site_fract_y
_atom_site_fract_z
Na1 Na 0.000 0.000 0.000
Na2 Na 0.500 0.500 0.000
Dy1 Dy 0.000 0.500 0.500
Ru1 Ru 0.500 0.000 0.500
O1 O 0.250 0.000 0.721
O2 O 0.293 0.500 0.298
```

The following is a PBE-GGA calculation of PIr2RuCl after structural relaxation, from the Alexandria database.

Structure (CIF):
```
data_PIr2RuCl
_chemical_formula_sum 'P1 Ir2 Ru1 Cl1'
_symmetry_space_group_name_H-M 'P 4/m m m'
_symmetry_Int_Tables_number 123
_symmetry_space_group_name_Hall '-P 4 2'
_cell_length_a 4.364
_cell_length_b 4.364
_cell_length_c 4.983
_cell_angle_alpha 90.00
_cell_angle_beta 90.00
_cell_angle_gamma 90.00
loop_
_atom_site_label
_atom_site_type_symbol
_atom_site_fract_x
_atom_site_fract_y
_atom_site_fract_z
P1 P 0.000 0.000 0.000
Ir1 Ir 0.000 0.500 0.000
Ru1 Ru 0.500 0.500 0.500
Cl1 Cl 0.000 0.000 0.500
```

The following is a PBE-GGA calculation of EuIn2Hg after structural relaxation, from the Alexandria database.

## Properties
DFT formation energy: -352 meV per atom
Excess energy over the best structure of this formula in the dataset: 0 meV/atom

Structure (CIF):
```
data_EuIn2Hg
_chemical_formula_sum 'Eu1 In2 Hg1'
_symmetry_space_group_name_H-M 'P 4/m m m'
_symmetry_Int_Tables_number 123
_symmetry_space_group_name_Hall '-P 4 2'
_cell_length_a 4.709
_cell_length_b 4.709
_cell_length_c 4.807
_cell_angle_alpha 90.00
_cell_angle_beta 90.00
_cell_angle_gamma 90.00
loop_
_atom_site_label
_atom_site_type_symbol
_atom_site_fract_x
_atom_site_fract_y
_atom_site_fract_z
Eu1 Eu 0.000 0.000 0.000
In1 In 0.000 0.500 0.500
Hg1 Hg 0.500 0.500 0.000
```

The following is a PBE-GGA calculation of Co8Si after structural relaxation, from the Alexandria database.

Structure (CIF):
```
data_Co8Si
_chemical_formula_sum 'Co16 Si2'
_symmetry_space_group_name_H-M 'I 4/m m m'
_symmetry_Int_Tables_number 139
_symmetry_space_group_name_Hall '-I 4 2'
_cell_length_a 7.440
_cell_length_b 7.440
_cell_length_c 3.520
_cell_angle_alpha 90.00
_cell_angle_beta 90.00
_cell_angle_gamma 90.00
loop_
_atom_site_label
_atom_site_type_symbol
_atom_site_fract_x
_atom_site_fract_y
_atom_site_fract_z
Co1 Co 0.000 0.336 0.000
Co2 Co 0.168 0.168 0.500
Si1 Si 0.000 0.000 0.000
```

The following is a PBE-GGA calculation of ZrAlFeNi after structural relaxation, from the Alexandria database.

## Properties
DFT formation energy: -414 meV per atom

Structure (CIF):
```
data_ZrAlFeNi
_chemical_formula_sum 'Zr4 Al4 Fe4 Ni4'
_symmetry_space_group_name_H-M 'F -4 3 m'
_symmetry_Int_Tables_number 216
_symmetry_space_group_name_Hall 'F -4 2 3'
_cell_length_a 6.107
_cell_length_b 6.107
_cell_length_c 6.107
_cell_angle_alpha 90.00
_cell_angle_beta 90.00
_cell_angle_gamma 90.00
loop_
_atom_site_label
_atom_site_type_symbol
_atom_site_fract_x
_atom_site_fract_y
_atom_site_fract_z
Zr1 Zr 0.000 0.000 0.000
Al1 Al 0.000 0.000 0.500
Fe1 Fe 0.250 0.250 0.750
Ni1 Ni 0.250 0.250 0.250
```

The following is a PBE-GGA calculation of Pa3Si4Au2 after structural relaxation, from the Alexandria database.

Structure (CIF):
```
data_Pa3Si4Au2
_chemical_formula_sum 'Pa6 Si8 Au4'
_symmetry_space_group_name_H-M 'I m m m'
_symmetry_Int_Tables_number 71
_symmetry_space_group_name_Hall '-I 2 2'
_cell_length_a 3.138
_cell_length_b 10.020
_cell_length_c 11.412
_cell_angle_alpha 90.00
_cell_angle_beta 90.00
_cell_angle_gamma 90.00
loop_
_atom_site_label
_atom_site_type_symbol
_atom_site_fract_x
_atom_site_fract_y
_atom_site_fract_z
Pa1 Pa 0.000 0.000 0.000
Pa2 Pa 0.000 0.500 0.169
Si1 Si 0.000 0.196 0.184
Au1 Au 0.000 0.198 0.500
```

The following is a PBE-GGA calculation of KCr2In after structural relaxation, from the Alexandria database.

## Properties
DFT formation energy: 951 meV per atom

Structure (CIF):
```
data_KCr2In
_chemical_formula_sum 'K2 Cr4 In2'
_symmetry_space_group_name_H-M 'I m m m'
_symmetry_Int_Tables_number 71
_symmetry_space_group_name_Hall '-I 2 2'
_cell_length_a 3.313
_cell_length_b 5.835
_cell_length_c 10.774
_cell_angle_alpha 90.00
_cell_angle_beta 90.00
_cell_angle_gamma 90.00
loop_
_atom_site_label
_atom_site_type_symbol
_atom_site_fract_x
_atom_site_fract_y
_atom_site_fract_z
K1 K 0.000 0.000 0.000
Cr1 Cr 0.000 0.500 0.214
In1 In 0.000 0.000 0.500
```

The following is a PBE-GGA calculation of Y12Cd3H5 after structural relaxation, from the Alexandria database.

Structure (CIF):
```
data_Y12Cd3H5
_chemical_formula_sum 'Y96 Cd24 H40'
_symmetry_space_group_name_H-M 'I a -3 d'
_symmetry_Int_Tables_number 230
_symmetry_space_group_name_Hall '-I 4bd 2c 3'
_cell_length_a 15.602
_cell_length_b 15.602
_cell_length_c 15.602
_cell_angle_alpha 90.00
_cell_angle_beta 90.00
_cell_angle_gamma 90.00
loop_
_atom_site_label
_atom_site_type_symbol
_atom_site_fract_x
_atom_site_fract_y
_atom_site_fract_z
Y1 Y 0.043 0.054 0.651
Cd1 Cd 0.000 0.250 0.125
H1 H 0.000 0.000 0.000
H2 H 0.000 0.250 0.375
```

| no. | calculated total energy (eV per atom) |
| --- | --- |
| 1 | -5.4093 |
| 2 | -5.0971 |
| 3 | -3.8836 |
| 4 | -3.9417 |
| 5 | -6.4453 |
| 6 | -5.7582 |
| 7 | -4.3650 |
| 8 | -7.0247 |
| 9 | -7.0472 |
| 10 | -6.4767 |
| 11 | -4.8197 |
| 12 | -5.0757 |